(1)
## Ca2CoNi (PBE)

Data for a relaxed Ca2CoNi crystal.

## Properties
The calculation puts the formation energy at 2.2 eV per formula unit. The space-group type is I-42d (122). Its total energy is -3.68 eV per atom. As for the distance to the lowest polymorph of the same formula: 0.507 eV per atom.

Lattice parameters (Å, degrees): 7.497 7.497 6.075 51.90 51.90 90.00
Atoms (fractional coordinates):
Ca (0.375, 0.366, 0.750)
Ca (0.116, 0.625, 0.250)
Ca (0.634, 0.125, 0.250)
Ca (0.875, 0.884, 0.750)
Ni (0.000, 0.000, 0.000)
Ni (0.750, 0.250, 0.500)
Co (0.250, 0.750, 0.500)
Co (0.500, 0.500, 0.000)

(2)
## LiTe (PBE)

Data for a relaxed LiTe crystal.

## Properties
The space-group type is Fd-3m (227). Its total energy is -2.75 eV per atom. As for the distance to the lowest polymorph of the same formula: 0.503 eV per atom. The calculation puts the formation energy from raw total energies at -219.0 meV per atom.

Lattice parameters (Å, degrees): 5.258 5.258 5.258 60.00 60.00 60.00
Atoms (fractional coordinates):
Li (0.750, 0.750, 0.750)
Li (0.000, 0.000, 0.000)
Te (0.250, 0.250, 0.250)
Te (0.500, 0.500, 0.500)

(3)
## Ba12Pd3F5 (PBE)

Data for a relaxed Ba12Pd3F5 crystal.

## Properties
The space-group type is Ia-3d (230). Its total energy is -3.87 eV per atom. The calculation puts the formation energy from raw total energies at -1473.0 meV per atom.

Lattice parameters (Å, degrees): 15.549 15.549 15.549 109.47 109.47 109.47
Atoms (fractional coordinates):
F (0.250, 0.375, 0.625)
F (0.500, 0.500, 0.000)
F (0.500, 0.000, 0.500)
F (0.625, 0.750, 0.875)
F (0.500, 0.000, 0.000)
F (0.000, 0.000, 0.500)
F (0.500, 0.500, 0.500)
F (0.875, 0.250, 0.625)
F (0.875, 0.625, 0.750)
F (0.000, 0.500, 0.000)
F (0.750, 0.625, 0.375)
F (0.000, 0.500, 0.500)
F (0.125, 0.750, 0.375)
F (0.375, 0.250, 0.125)
F (0.625, 0.875, 0.250)
F (0.125, 0.375, 0.250)
F (0.375, 0.125, 0.750)
F (0.250, 0.875, 0.125)
F (0.000, 0.000, 0.000)
F (0.750, 0.125, 0.875)
Ba (0.376, 0.405, 0.090)
Ba (0.184, 0.090, 0.713)
Ba (0.316, 0.787, 0.410)
Ba (0.910, 0.816, 0.787)
Ba (0.971, 0.595, 0.184)
Ba (0.405, 0.376, 0.590)
Ba (0.624, 0.595, 0.910)
Ba (0.405, 0.029, 0.316)
Ba (0.713, 0.124, 0.029)
Ba (0.910, 0.095, 0.624)
Ba (0.816, 0.910, 0.287)
Ba (0.787, 0.316, 0.910)
Ba (0.590, 0.876, 0.405)
Ba (0.090, 0.905, 0.376)
Ba (0.410, 0.124, 0.595)
Ba (0.595, 0.624, 0.410)
Ba (0.184, 0.095, 0.971)
Ba (0.684, 0.471, 0.595)
Ba (0.905, 0.816, 0.529)
Ba (0.684, 0.213, 0.590)
Ba (0.595, 0.971, 0.684)
Ba (0.287, 0.410, 0.816)
Ba (0.529, 0.213, 0.124)
Ba (0.213, 0.529, 0.624)
Ba (0.971, 0.376, 0.287)
Ba (0.876, 0.287, 0.471)
Ba (0.471, 0.684, 0.095)
Ba (0.095, 0.910, 0.124)
Ba (0.029, 0.405, 0.816)
Ba (0.316, 0.529, 0.405)
Ba (0.876, 0.590, 0.905)
Ba (0.124, 0.410, 0.095)
Ba (0.590, 0.713, 0.684)
Ba (0.624, 0.029, 0.213)
Ba (0.287, 0.876, 0.971)
Ba (0.529, 0.316, 0.905)
Ba (0.376, 0.971, 0.787)
Ba (0.124, 0.713, 0.529)
Ba (0.029, 0.624, 0.713)
Ba (0.471, 0.787, 0.876)
Ba (0.410, 0.287, 0.316)
Ba (0.713, 0.590, 0.184)
Ba (0.787, 0.471, 0.376)
Ba (0.816, 0.905, 0.029)
Ba (0.090, 0.184, 0.213)
Ba (0.095, 0.184, 0.471)
Ba (0.213, 0.684, 0.090)
Ba (0.905, 0.090, 0.876)
Pd (0.625, 0.250, 0.375)
Pd (0.375, 0.625, 0.250)
Pd (0.625, 0.375, 0.750)
Pd (0.875, 0.125, 0.250)
Pd (0.375, 0.750, 0.625)
Pd (0.125, 0.250, 0.875)
Pd (0.875, 0.750, 0.125)
Pd (0.750, 0.875, 0.625)
Pd (0.250, 0.625, 0.875)
Pd (0.750, 0.375, 0.125)
Pd (0.250, 0.125, 0.375)
Pd (0.125, 0.875, 0.750)

| no. | ρ (Mg/m³) | DOS at the Fermi energy (states/eV/f.u.) | magnetization (μB/cell) |
| --- | --- | --- | --- |
| 1 | 3.9 | 7.32 | 2.1 |
| 2 | 4.3 | 1.52 | 0.0 |
| 3 | 4.7 | 17.76 | 0.1 |